# Sm2NpAgSe5 PBE optimized geometry
data_Sm2NpAgSe5
_space_group_name_H-M_alt 'C m c 21'
_space_group_IT_number 36
_cell_length_a 4.132
_cell_length_b 17.314
_cell_length_c 12.602
_cell_angle_alpha 90.00
_cell_angle_beta 90.00
_cell_angle_gamma 90.00
loop_
_space_group_symop_operation_xyz
'x,y,z'
'-x,-y,z+1/2'
'-x,y,z'
'x,-y,z+1/2'
'x+1/2,y+1/2,z'
'-x+1/2,-y+1/2,z+1/2'
'-x+1/2,y+1/2,z'
'x+1/2,-y+1/2,z+1/2'
loop_
_atom_site_label
_atom_site_fract_x
_atom_site_fract_y
_atom_site_fract_z
_atom_site_occupancy
Sm1 0.000 0.112 0.000 1
Sm2 0.000 0.126 0.618 1
Np1 0.000 0.197 0.322 1
Ag1 0.000 0.451 0.774 1
Se1 0.000 0.045 0.395 1
Se2 0.000 0.288 0.982 1
Se3 0.000 0.306 0.657 1
Se4 0.000 0.363 0.315 1
Se5 0.000 0.498 0.084 1
# formation energy without anion corrections = -1.302 eV/atom
# crystal system = orthorhombic
# Fermi-level density of states = 35.2 states/eV/cell



# MgTcOs2 PBE optimized geometry
data_MgTcOs2
_space_group_name_H-M_alt 'P 4/m m m'
_space_group_IT_number 123
_space_group_name_Hall '-P 4 2'
_cell_length_a 3.933
_cell_length_b 3.933
_cell_length_c 3.847
_cell_angle_alpha 90.00
_cell_angle_beta 90.00
_cell_angle_gamma 90.00
loop_
_atom_site_label
_atom_site_fract_x
_atom_site_fract_y
_atom_site_fract_z
_atom_site_occupancy
Mg1 0.000 0.000 0.000 1
Tc1 0.500 0.500 0.000 1
Os1 0.000 0.500 0.500 1
# crystal system = tetragonal
# VASP energy = -8.1638 eV/atom
# Fermi-level density of states = 5.5 states/eV/cell



# CeSm2 PBE optimized geometry
data_CeSm2
_space_group_name_H-M_alt 'R -3 m'
_space_group_IT_number 166
_space_group_name_Hall '-R 3 2"'
_cell_length_a 3.5954
_cell_length_b 3.5954
_cell_length_c 25.7955
_cell_angle_alpha 90.00
_cell_angle_beta 90.00
_cell_angle_gamma 120.00
loop_
_atom_site_label
_atom_site_fract_x
_atom_site_fract_y
_atom_site_fract_z
_atom_site_occupancy
Ce1 0.0000 0.0000 0.0000 1
Sm1 0.0000 0.0000 0.2252 1
# energy above the lowest structure with this stoichiometry = 0 meV per atom
# crystal system = trigonal
# Fermi-level density of states = 17.5 states/eV/cell



# AlGeOs PBE optimized geometry
data_AlGeOs
_space_group_name_H-M_alt 'C 1 2/c 1'
_space_group_IT_number 15
_cell_length_a 5.402
_cell_length_b 6.780
_cell_length_c 5.481
_cell_angle_alpha 90.00
_cell_angle_beta 106.93
_cell_angle_gamma 90.00
loop_
_space_group_symop_operation_xyz
'x,y,z'
'-x,-y,-z'
'-x,y,-z+1/2'
'x,-y,z+1/2'
'x+1/2,y+1/2,z'
'-x+1/2,-y+1/2,-z'
'-x+1/2,y+1/2,-z+1/2'
'x+1/2,-y+1/2,z+1/2'
loop_
_atom_site_label
_atom_site_fract_x
_atom_site_fract_y
_atom_site_fract_z
_atom_site_occupancy
Al1 0.000 0.044 0.250 1
Ge1 0.000 0.455 0.250 1
Os1 0.250 0.250 0.000 1
# energy above the lowest structure with this stoichiometry = 0 meV per atom
# crystal system = monoclinic
# Fermi-level density of states = 6.3 states/eV/cell



# IrRuPt PBE optimized geometry
data_IrRuPt
_space_group_name_H-M_alt 'P 3 m 1'
_space_group_IT_number 156
_cell_length_a 2.7401
_cell_length_b 2.7401
_cell_length_c 6.7809
_cell_angle_alpha 90.00
_cell_angle_beta 90.00
_cell_angle_gamma 120.00
loop_
_space_group_symop_operation_xyz
'x,y,z'
'-y,x-y,z'
'-x+y,-x,z'
'-y,-x,z'
'-x+y,y,z'
'x,x-y,z'
loop_
_atom_site_label
_atom_site_fract_x
_atom_site_fract_y
_atom_site_fract_z
_atom_site_occupancy
Ir1 0.0000 0.0000 0.0000 1
Ru1 0.3333 0.6667 0.6860 1
Pt1 0.6667 0.3333 0.3490 1
# energy above the lowest structure with this stoichiometry = 29 meV per atom
# crystal system = trigonal
# Fermi-level density of states = 3.4 states/eV/cell



# PmSi3TcOs PBE optimized geometry
data_PmSi3TcOs
_space_group_name_H-M_alt 'C m c m'
_space_group_IT_number 63
_space_group_name_Hall '-C 2c 2'
_cell_length_a 7.644
_cell_length_b 11.051
_cell_length_c 5.578
_cell_angle_alpha 90.00
_cell_angle_beta 90.00
_cell_angle_gamma 90.00
loop_
_atom_site_label
_atom_site_fract_x
_atom_site_fract_y
_atom_site_fract_z
_atom_site_occupancy
Pm1 0.000 0.246 0.250 1
Si1 0.000 0.248 0.750 1
Si2 0.249 0.500 0.000 1
Tc1 0.000 0.449 0.750 1
Os1 0.000 0.046 0.750 1
# formation energy without anion corrections = -0.348 eV/atom
# crystal system = orthorhombic
# Fermi-level density of states = 9.2 states/eV/cell